# 1
DFT (PBE-GGA) results for a geometry-optimized LaY3 structure.

Output
As for the crystal system: trigonal. Its space group is No. 166.

```
4
Lattice="3.4976 0.0000 0.0000 1.1659 6.6894 0.0000 -1.1659 3.3447 5.7932" Properties=species:S:1:pos:R:3 pbc="T T T"
La 0.0000 0.0000 0.0000
Y 0.0000 5.0170 2.8966
Y 2.3317 3.3447 0.0000
Y 1.1659 1.6723 2.8966
```



# 2
DFT (PBE-GGA) results for a geometry-optimized LaY3 structure.

Output
As for the crystal system: tetragonal. Its space group is No. 123.

```
4
Lattice="3.6300 0.0000 0.0000 0.0000 3.6300 0.0000 0.0000 0.0000 10.1800" Properties=species:S:1:pos:R:3 pbc="T T T"
Y 0.0000 0.0000 5.0900
Y 1.8150 1.8150 2.5960
Y 1.8150 1.8150 7.5840
La 0.0000 0.0000 0.0000
```



# 3
DFT (PBE-GGA) results for a geometry-optimized La2Y3 structure.

Output
For the energy above the most stable polymorph in this dataset, the calculation gives 0.19 eV per formula unit. As for the crystal system: orthorhombic. Its space group is No. 62.

```
20
Lattice="-2.9052 -0.5930 -2.0557 9.6693 -4.9495 -12.2375 -0.5768 -10.9571 3.9759" Properties=species:S:1:pos:R:3 pbc="T T T"
La 0.4543 -4.8436 -0.8279
La 2.2200 -11.3736 -1.4397
La 5.7330 -11.6560 -9.4894
La 3.9673 -5.1260 -8.8777
La 1.9450 -9.6533 -4.7136
La -1.9074 -2.0551 -1.4609
La 4.2423 -6.8463 -5.6037
La 8.0947 -14.4444 -8.8564
Y 5.3397 -10.3584 -6.1415
Y 7.2716 -5.7212 -10.2095
Y 0.8476 -6.1412 -4.1758
Y -1.0844 -10.7784 -0.1078
Y -1.9169 -7.3823 0.0892
Y 1.9847 -3.7533 -6.4716
Y 8.1042 -9.1173 -10.4066
Y 4.2026 -12.7463 -3.8457
Y 1.3615 -8.1793 -1.1479
Y 1.5952 -2.6728 -3.0665
Y 4.8258 -8.3203 -9.1695
Y 4.5921 -13.8268 -7.2508
```



# 4
DFT (PBE-GGA) results for a geometry-optimized La3Y2Zn3 structure.

Output
As for the crystal system: orthorhombic. Its space group is No. 71.

```
8
Lattice="3.6833 0.0000 -0.5932 -0.2045 5.2801 -1.2697 -0.0323 -0.0249 11.5314" Properties=species:S:1:pos:R:3 pbc="T T T"
La 1.3010 1.9931 8.0786
La 2.1455 3.2621 1.5899
La 1.8416 0.0000 -0.2966
Y 0.8211 4.0544 5.0981
Y 2.6255 1.2007 4.5703
Zn 3.0320 4.6202 7.0947
Zn -0.1022 2.6400 -0.6349
Zn 0.4145 0.6350 2.5738
```



# 5
DFT (PBE-GGA) results for a geometry-optimized LaY2Zn structure.

Output
For the energy above the most stable polymorph in this dataset, the calculation gives 0.05 eV per formula unit. As for the crystal system: orthorhombic. Its space group is No. 71.

```
4
Lattice="-3.0365 5.3484 -2.4343 -6.5703 -0.0579 -0.7608 5.1289 -0.5158 4.1448" Properties=species:S:1:pos:R:3 pbc="T T T"
Y -9.2341 5.0852 -3.0711
Y -5.1761 2.8505 -1.7215
Zn -1.3555 3.7389 0.0565
La -3.1224 1.0358 0.8933
```



# 6
DFT (PBE-GGA) results for a geometry-optimized LaYZn2 structure.

Output
For the energy above the most stable polymorph in this dataset, the calculation gives 0.03 eV per formula unit. As for the crystal system: cubic. Its space group is No. 225.

```
4
Lattice="0.0000 3.6763 3.6763 3.6763 0.0000 3.6763 3.6763 3.6763 0.0000" Properties=species:S:1:pos:R:3 pbc="T T T"
Y 0.0000 0.0000 0.0000
Zn 1.8382 1.8382 1.8382
Zn 5.5145 5.5145 5.5145
La 3.6763 3.6763 3.6763
```



# 7
DFT (PBE-GGA) results for a geometry-optimized LaYZn2 structure.

Output
For the energy above the most stable polymorph in this dataset, the calculation gives 0.00 eV per formula unit. As for the crystal system: tetragonal. Its space group is No. 123.

```
4
Lattice="-2.7699 -1.3560 1.9160 2.1828 -0.3768 2.8890 0.3784 6.5165 5.1590" Properties=species:S:1:pos:R:3 pbc="T T T"
Y 0.5360 3.9268 6.9940
Zn 0.4235 6.3467 5.1040
Zn 1.2355 3.2397 4.0790
La -0.7446 0.8570 2.9700
```



# 8
DFT (PBE-GGA) results for a geometry-optimized LaY2Zn structure.

Output
For the energy above the most stable polymorph in this dataset, the calculation gives 0.59 eV per formula unit. As for the crystal system: tetragonal. Its space group is No. 119.

```
4
Lattice="-5.8901 -0.4893 0.8442 -1.2361 -4.0321 4.2262 3.6988 4.6830 -0.1844" Properties=species:S:1:pos:R:3 pbc="T T T"
La -2.8772 0.9665 1.5975
Y 0.0000 0.0000 0.0000
Y -0.5502 -0.8049 3.2885
Zn -3.5631 -2.2607 2.5352
```



# 9
DFT (PBE-GGA) results for a geometry-optimized LaY2Zn structure.

Output
For the energy above the most stable polymorph in this dataset, the calculation gives 0.83 eV per formula unit. As for the crystal system: orthorhombic. Its space group is No. 65.

```
4
Lattice="5.6605 -0.0037 0.0000 -1.2413 5.5227 0.0000 0.0000 0.0000 3.6498" Properties=species:S:1:pos:R:3 pbc="T T T"
La -0.6207 2.7613 1.8249
Y 0.0000 0.0000 0.0000
Y 2.2096 2.7595 0.0000
Zn 2.8302 -0.0018 1.8249
```



# 10
DFT (PBE-GGA) results for a geometry-optimized LaYZn2 structure.

Output
For the energy above the most stable polymorph in this dataset, the calculation gives 3.40 eV per formula unit. As for the crystal system: orthorhombic. Its space group is No. 71.

```
4
Lattice="5.9627 -1.9135 3.1754 -1.9347 5.9559 -3.1754 0.2900 -4.3171 5.5297" Properties=species:S:1:pos:R:3 pbc="T T T"
La 3.1264 -3.1153 4.3526
Y 0.0000 0.0000 0.0000
Zn 4.7465 -4.7297 6.6081
Zn 1.5063 -1.5009 2.0970
```



# 11
DFT (PBE-GGA) results for a geometry-optimized LaYZn2 structure.

Output
For the energy above the most stable polymorph in this dataset, the calculation gives 0.84 eV per formula unit. As for the crystal system: monoclinic. Its space group is No. 12.

```
4
Lattice="-2.2098 4.1652 -1.7846 -4.7110 1.7221 -0.5085 -0.8391 3.5965 5.2408" Properties=species:S:1:pos:R:3 pbc="T T T"
La -1.9400 2.3709 0.7369
Y -5.8199 7.1128 2.2107
Zn -0.8331 3.4458 4.9640
Zn -3.8859 4.8925 1.7506
```



# 12
DFT (PBE-GGA) results for a geometry-optimized La3Y4Zn structure.

Output
As for the crystal system: tetragonal. Its space group is No. 123.

```
8
Lattice="3.6347 0.0000 0.0000 0.0000 3.6347 0.0000 0.0000 0.0000 19.2897" Properties=species:S:1:pos:R:3 pbc="T T T"
Y 0.0000 0.0000 17.5410
Y 0.0000 0.0000 1.7487
Y 0.0000 0.0000 7.0394
Y 0.0000 0.0000 12.2503
Zn 1.8174 1.8174 0.0000
La 1.8174 1.8174 4.4117
La 1.8174 1.8174 9.6449
La 1.8174 1.8174 14.8780
```



# 13
DFT (PBE-GGA) results for a geometry-optimized LaYZn4 structure.

Output
For the energy above the most stable polymorph in this dataset, the calculation gives 0.18 eV per formula unit. As for the crystal system: cubic. Its space group is No. 216.

```
6
Lattice="-4.7444 2.9010 0.1662 -4.3692 -1.6370 -3.0305 -4.4816 -2.1382 2.5093" Properties=species:S:1:pos:R:3 pbc="T T T"
La -3.3988 -0.2185 -0.0887
Y 0.0000 0.0000 0.0000
Zn -6.1219 -2.0035 -0.3055
Zn -8.5042 -0.5468 -0.2221
Zn -6.3104 0.2752 1.2996
Zn -6.2539 0.5268 -1.4820
```



# 14
DFT (PBE-GGA) results for a geometry-optimized LaYZn4 structure.

Output
For the energy above the most stable polymorph in this dataset, the calculation gives 0.00 eV per formula unit. As for the crystal system: orthorhombic. Its space group is No. 71.

```
6
Lattice="-3.4137 2.9569 0.1149 -5.0898 -2.3610 -1.6421 -2.8891 -0.0817 5.0816" Properties=species:S:1:pos:R:3 pbc="T T T"
La 0.0000 0.0000 0.0000
Y -3.9894 -1.2213 1.7198
Zn -5.4646 0.6088 -0.3897
Zn -6.9842 -1.1886 0.7169
Zn -5.9280 -0.0945 3.9441
Zn -4.4084 1.7028 2.8375
```



# 15
DFT (PBE-GGA) results for a geometry-optimized LaYZn2 structure.

Output
For the energy above the most stable polymorph in this dataset, the calculation gives 0.86 eV per formula unit. As for the crystal system: tetragonal. Its space group is No. 99.

```
4
Lattice="-0.3074 -0.9279 3.5261 3.6459 -0.0461 0.3057 -0.0688 7.3515 1.9285" Properties=species:S:1:pos:R:3 pbc="T T T"
La -0.0316 3.3800 0.8867
Y 1.6137 5.4541 3.4744
Zn -0.0017 0.1838 0.0482
Zn 1.6550 1.0354 2.3152
```



# 16
DFT (PBE-GGA) results for a geometry-optimized LaY2Zn structure.

Output
For the energy above the most stable polymorph in this dataset, the calculation gives 0.55 eV per formula unit. As for the crystal system: monoclinic. Its space group is No. 10.

```
4
Lattice="4.9844 0.0000 0.0000 0.0000 3.6798 -0.0072 0.0000 2.1253 6.4246" Properties=species:S:1:pos:R:3 pbc="T T T"
La 2.4922 4.3539 4.8130
Y 0.0000 0.3707 0.1697
Y 0.0000 2.5319 3.0389
Zn 2.4922 1.4513 1.6043
```



# 17
DFT (PBE-GGA) results for a geometry-optimized La5YZn4 structure.

Output
As for the crystal system: tetragonal. Its space group is No. 123.

```
10
Lattice="3.7686 0.0000 0.0000 0.0000 3.7686 0.0000 0.0000 0.0000 19.9926" Properties=species:S:1:pos:R:3 pbc="T T T"
La 1.8843 1.8843 2.5480
La 1.8843 1.8843 6.2537
La 1.8843 1.8843 9.9963
La 1.8843 1.8843 13.7388
La 1.8843 1.8843 17.4446
Y 0.0000 0.0000 0.0000
Zn 0.0000 0.0000 4.3660
Zn 0.0000 0.0000 8.1290
Zn 0.0000 0.0000 11.8636
Zn 0.0000 0.0000 15.6266
```



# 18
DFT (PBE-GGA) results for a geometry-optimized LaY2Zn structure.

Output
For the energy above the most stable polymorph in this dataset, the calculation gives 0.07 eV per formula unit. As for the crystal system: tetragonal. Its space group is No. 99.

```
4
Lattice="-2.3007 2.8137 0.3586 -2.5841 -2.2695 1.2291 2.8236 1.2564 8.2564" Properties=species:S:1:pos:R:3 pbc="T T T"
Y 0.0357 0.0159 0.1044
Y -1.6106 0.6422 3.2259
Zn 1.3610 0.6056 3.9798
La -0.4354 1.1651 6.6623
```



# 19
DFT (PBE-GGA) results for a geometry-optimized La2YZn4 structure.

Output
As for the crystal system: trigonal. Its space group is No. 166.

```
7
Lattice="-4.0737 2.4013 1.8912 -0.0292 1.5239 4.8595 1.9673 8.8005 -0.0792" Properties=species:S:1:pos:R:3 pbc="T T T"
La -1.6528 9.4295 5.0393
La -0.4828 3.2963 1.6322
Y 0.0000 0.0000 0.0000
Zn -2.8716 6.6915 5.8906
Zn 0.7359 6.0342 0.7809
Zn -2.3599 3.4602 4.2383
Zn 0.2242 9.2656 2.4332
```



# 20
DFT (PBE-GGA) results for a geometry-optimized LaYZn3 structure.

Output
For the energy above the most stable polymorph in this dataset, the calculation gives 0.00 eV per formula unit. As for the crystal system: orthorhombic. Its space group is No. 63.

```
10
Lattice="3.6417 0.0000 -0.5014 0.0000 4.6092 0.0000 0.0472 0.0000 13.8180" Properties=species:S:1:pos:R:3 pbc="T T T"
La 3.4104 3.4569 11.2938
La 0.2785 1.1523 2.0227
Y 0.7822 3.4569 5.6807
Y 2.9067 1.1523 7.6359
Zn 2.2769 3.4569 3.0613
Zn 1.4120 1.1523 10.2553
Zn 1.9100 3.4569 0.3967
Zn 1.7789 1.1523 12.9199
Zn 2.4804 1.1523 4.5397
Zn 1.2085 3.4569 8.7769
```



| no. | formation energy (meV per atom) |
| --- | --- |
| 1 | 141 |
| 2 | 31 |
| 3 | 47 |
| 4 | -236 |
| 5 | -153 |
| 6 | -320 |
| 7 | -328 |
| 8 | -18 |
| 9 | 42 |
| 10 | 524 |
| 11 | -117 |
| 12 | -68 |
| 13 | -330 |
| 14 | -360 |
| 15 | -114 |
| 16 | -30 |
| 17 | -239 |
| 18 | -148 |
| 19 | -107 |
| 20 | -337 |